Density functional theory data (PBE-GGA) for crystalline BeHgRu2 at its relaxed geometry.

CIF file:
```
data_BeHgRu2
_space_group_name_H-M_alt 'P 4/m m m'
_space_group_IT_number 123
_space_group_name_Hall '-P 4 2'
_cell_length_a 3.828
_cell_length_b 3.828
_cell_length_c 4.046
_cell_angle_alpha 90.00
_cell_angle_beta 90.00
_cell_angle_gamma 90.00
loop_
_atom_site_label
_atom_site_type_symbol
_atom_site_fract_x
_atom_site_fract_y
_atom_site_fract_z
Be1 Be 0.000 0.000 0.000
Hg1 Hg 0.500 0.500 0.000
Ru1 Ru 0.000 0.500 0.500
```

Output
Its density of states at the Fermi level is 4.11 states/eV/f.u. The energy relative to the lowest polymorph listed for this composition comes out at 9.565 kcal/mol of atoms.

***

Density functional theory data (PBE-GGA) for crystalline BeHgRu2 at its relaxed geometry.

CIF file:
```
data_BeHgRu2
_space_group_name_H-M_alt 'P 4 m m'
_space_group_IT_number 99
_space_group_name_Hall 'P 4 -2'
_cell_length_a 2.895
_cell_length_b 2.895
_cell_length_c 6.792
_cell_angle_alpha 90.00
_cell_angle_beta 90.00
_cell_angle_gamma 90.00
loop_
_atom_site_label
_atom_site_type_symbol
_atom_site_fract_x
_atom_site_fract_y
_atom_site_fract_z
Be1 Be 0.000 0.000 0.000
Hg1 Hg 0.500 0.500 0.268
Ru1 Ru 0.000 0.000 0.580
Ru2 Ru 0.500 0.500 0.823
```

Output
Its density of states at the Fermi level is 1.84 states/eV/f.u. The energy relative to the lowest polymorph listed for this composition comes out at 0.000 kcal/mol of atoms.

***

Density functional theory data (PBE-GGA) for crystalline Be2HgRu at its relaxed geometry.

CIF file:
```
data_Be2HgRu
_space_group_name_H-M_alt 'P 4/m m m'
_space_group_IT_number 123
_space_group_name_Hall '-P 4 2'
_cell_length_a 3.011
_cell_length_b 3.011
_cell_length_c 5.718
_cell_angle_alpha 90.00
_cell_angle_beta 90.00
_cell_angle_gamma 90.00
loop_
_atom_site_label
_atom_site_type_symbol
_atom_site_fract_x
_atom_site_fract_y
_atom_site_fract_z
Be1 Be 0.000 0.000 0.183
Hg1 Hg 0.500 0.500 0.500
Ru1 Ru 0.500 0.500 0.000
```

Output
Its density of states at the Fermi level is 0.73 states/eV/f.u.

***

Density functional theory data (PBE-GGA) for crystalline Be2HgRu at its relaxed geometry.

CIF file:
```
data_Be2HgRu
_space_group_name_H-M_alt 'C 1 2/m 1'
_space_group_IT_number 12
_space_group_name_Hall '-C 2y'
_cell_length_a 7.814
_cell_length_b 3.104
_cell_length_c 4.714
_cell_angle_alpha 90.00
_cell_angle_beta 102.27
_cell_angle_gamma 90.00
loop_
_atom_site_label
_atom_site_type_symbol
_atom_site_fract_x
_atom_site_fract_y
_atom_site_fract_z
Be1 Be 0.221 0.000 0.141
Hg1 Hg 0.000 0.000 0.500
Ru1 Ru 0.000 0.500 0.000
```

Output
Its density of states at the Fermi level is 1.55 states/eV/f.u.

***

Density functional theory data (PBE-GGA) for crystalline BeHg2Ru at its relaxed geometry.

CIF file:
```
data_BeHg2Ru
_space_group_name_H-M_alt 'P 1 2/m 1'
_space_group_IT_number 10
_space_group_name_Hall '-P 2y'
_cell_length_a 3.034
_cell_length_b 4.126
_cell_length_c 5.491
_cell_angle_alpha 90.00
_cell_angle_beta 104.43
_cell_angle_gamma 90.00
loop_
_atom_site_label
_atom_site_type_symbol
_atom_site_fract_x
_atom_site_fract_y
_atom_site_fract_z
Be1 Be 0.000 0.000 0.000
Hg1 Hg 0.369 0.500 0.237
Ru1 Ru 0.000 0.000 0.500
```

Output
Its density of states at the Fermi level is 2.92 states/eV/f.u.

***

Density functional theory data (PBE-GGA) for crystalline Be2HgRu at its relaxed geometry.

CIF file:
```
data_Be2HgRu
_space_group_name_H-M_alt 'F -4 3 m'
_space_group_IT_number 216
_space_group_name_Hall 'F -4 2 3'
_cell_length_a 6.028
_cell_length_b 6.028
_cell_length_c 6.028
_cell_angle_alpha 90.00
_cell_angle_beta 90.00
_cell_angle_gamma 90.00
loop_
_atom_site_label
_atom_site_type_symbol
_atom_site_fract_x
_atom_site_fract_y
_atom_site_fract_z
Be1 Be 0.000 0.000 0.000
Be2 Be 0.250 0.250 0.250
Hg1 Hg 0.250 0.250 0.750
Ru1 Ru 0.000 0.000 0.500
```

Output
Its density of states at the Fermi level is 2.10 states/eV/f.u.

***

Density functional theory data (PBE-GGA) for crystalline BeHg2Ru at its relaxed geometry.

CIF file:
```
data_BeHg2Ru
_space_group_name_H-M_alt 'I -4 m 2'
_space_group_IT_number 119
_space_group_name_Hall 'I -4 -2'
_cell_length_a 3.984
_cell_length_b 3.984
_cell_length_c 8.398
_cell_angle_alpha 90.00
_cell_angle_beta 90.00
_cell_angle_gamma 90.00
loop_
_atom_site_label
_atom_site_type_symbol
_atom_site_fract_x
_atom_site_fract_y
_atom_site_fract_z
Be1 Be 0.000 0.000 0.000
Hg1 Hg 0.000 0.000 0.500
Hg2 Hg 0.000 0.500 0.750
Ru1 Ru 0.000 0.500 0.250
```

Output
Its density of states at the Fermi level is 3.19 states/eV/f.u.

***

Density functional theory data (PBE-GGA) for crystalline BeHgRu2 at its relaxed geometry.

CIF file:
```
data_BeHgRu2
_space_group_name_H-M_alt 'P 4/m m m'
_space_group_IT_number 123
_space_group_name_Hall '-P 4 2'
_cell_length_a 2.885
_cell_length_b 2.885
_cell_length_c 6.821
_cell_angle_alpha 90.00
_cell_angle_beta 90.00
_cell_angle_gamma 90.00
loop_
_atom_site_label
_atom_site_type_symbol
_atom_site_fract_x
_atom_site_fract_y
_atom_site_fract_z
Be1 Be 0.000 0.000 0.000
Hg1 Hg 0.000 0.000 0.500
Ru1 Ru 0.500 0.500 0.185
```

Output
Its density of states at the Fermi level is 3.67 states/eV/f.u. The energy relative to the lowest polymorph listed for this composition comes out at 1.350 kcal/mol of atoms.

***

Density functional theory data (PBE-GGA) for crystalline BeHgRu2 at its relaxed geometry.

CIF file:
```
data_BeHgRu2
_space_group_name_H-M_alt 'C 1 m 1'
_space_group_IT_number 8
_space_group_name_Hall 'C -2y'
_cell_length_a 8.635
_cell_length_b 2.867
_cell_length_c 4.949
_cell_angle_alpha 90.00
_cell_angle_beta 98.07
_cell_angle_gamma 90.00
loop_
_atom_site_label
_atom_site_type_symbol
_atom_site_fract_x
_atom_site_fract_y
_atom_site_fract_z
Be1 Be 0.000 0.000 0.000
Hg1 Hg 0.269 0.500 0.297
Ru1 Ru 0.021 0.500 0.631
Ru2 Ru 0.264 0.000 0.807
```

Output
Its density of states at the Fermi level is 3.72 states/eV/f.u. The energy relative to the lowest polymorph listed for this composition comes out at 5.127 kcal/mol of atoms.

***

Density functional theory data (PBE-GGA) for crystalline Be2HgRu at its relaxed geometry.

CIF file:
```
data_Be2HgRu
_space_group_name_H-M_alt 'P 4 m m'
_space_group_IT_number 99
_space_group_name_Hall 'P 4 -2'
_cell_length_a 2.963
_cell_length_b 2.963
_cell_length_c 5.946
_cell_angle_alpha 90.00
_cell_angle_beta 90.00
_cell_angle_gamma 90.00
loop_
_atom_site_label
_atom_site_type_symbol
_atom_site_fract_x
_atom_site_fract_y
_atom_site_fract_z
Be1 Be 0.000 0.000 0.000
Be2 Be 0.500 0.500 0.198
Hg1 Hg 0.000 0.000 0.481
Ru1 Ru 0.500 0.500 0.826
```

Output
Its density of states at the Fermi level is 2.17 states/eV/f.u.

***

Density functional theory data (PBE-GGA) for crystalline Be2HgRu at its relaxed geometry.

CIF file:
```
data_Be2HgRu
_space_group_name_H-M_alt 'I -4 m 2'
_space_group_IT_number 119
_space_group_name_Hall 'I -4 -2'
_cell_length_a 3.428
_cell_length_b 3.428
_cell_length_c 8.776
_cell_angle_alpha 90.00
_cell_angle_beta 90.00
_cell_angle_gamma 90.00
loop_
_atom_site_label
_atom_site_type_symbol
_atom_site_fract_x
_atom_site_fract_y
_atom_site_fract_z
Be1 Be 0.000 0.000 0.000
Be2 Be 0.000 0.500 0.250
Hg1 Hg 0.000 0.500 0.750
Ru1 Ru 0.000 0.000 0.500
```

Output
Its density of states at the Fermi level is 1.02 states/eV/f.u.

***

Density functional theory data (PBE-GGA) for crystalline BeHgRu2 at its relaxed geometry.

CIF file:
```
data_BeHgRu2
_space_group_name_H-M_alt 'I -4 m 2'
_space_group_IT_number 119
_space_group_name_Hall 'I -4 -2'
_cell_length_a 3.943
_cell_length_b 3.943
_cell_length_c 7.465
_cell_angle_alpha 90.00
_cell_angle_beta 90.00
_cell_angle_gamma 90.00
loop_
_atom_site_label
_atom_site_type_symbol
_atom_site_fract_x
_atom_site_fract_y
_atom_site_fract_z
Be1 Be 0.000 0.000 0.000
Hg1 Hg 0.000 0.500 0.750
Ru1 Ru 0.000 0.000 0.500
Ru2 Ru 0.000 0.500 0.250
```

Output
Its density of states at the Fermi level is 4.37 states/eV/f.u. The energy relative to the lowest polymorph listed for this composition comes out at 7.478 kcal/mol of atoms.

***

Density functional theory data (PBE-GGA) for crystalline BeHgRu2 at its relaxed geometry.

CIF file:
```
data_BeHgRu2
_space_group_name_H-M_alt 'I m m 2'
_space_group_IT_number 44
_space_group_name_Hall 'I 2 -2'
_cell_length_a 3.019
_cell_length_b 4.431
_cell_length_c 8.493
_cell_angle_alpha 90.00
_cell_angle_beta 90.00
_cell_angle_gamma 90.00
loop_
_atom_site_label
_atom_site_type_symbol
_atom_site_fract_x
_atom_site_fract_y
_atom_site_fract_z
Be1 Be 0.000 0.000 0.000
Hg1 Hg 0.000 0.500 0.735
Ru1 Ru 0.000 0.000 0.519
Ru2 Ru 0.000 0.500 0.287
```

Output
Its density of states at the Fermi level is 4.43 states/eV/f.u. The energy relative to the lowest polymorph listed for this composition comes out at 6.191 kcal/mol of atoms.

***

Density functional theory data (PBE-GGA) for crystalline BeHgRu2 at its relaxed geometry.

CIF file:
```
data_BeHgRu2
_space_group_name_H-M_alt 'C m m m'
_space_group_IT_number 65
_space_group_name_Hall '-C 2 2'
_cell_length_a 3.060
_cell_length_b 4.649
_cell_length_c 8.149
_cell_angle_alpha 90.00
_cell_angle_beta 90.00
_cell_angle_gamma 90.00
loop_
_atom_site_label
_atom_site_type_symbol
_atom_site_fract_x
_atom_site_fract_y
_atom_site_fract_z
Be1 Be 0.000 0.000 0.000
Hg1 Hg 0.000 0.000 0.500
Ru1 Ru 0.000 0.500 0.199
```

Output
Its density of states at the Fermi level is 4.33 states/eV/f.u. The energy relative to the lowest polymorph listed for this composition comes out at 5.785 kcal/mol of atoms.

***

Density functional theory data (PBE-GGA) for crystalline BeHg2Ru at its relaxed geometry.

CIF file:
```
data_BeHg2Ru
_space_group_name_H-M_alt 'P 4/m m m'
_space_group_IT_number 123
_space_group_name_Hall '-P 4 2'
_cell_length_a 4.026
_cell_length_b 4.026
_cell_length_c 4.057
_cell_angle_alpha 90.00
_cell_angle_beta 90.00
_cell_angle_gamma 90.00
loop_
_atom_site_label
_atom_site_type_symbol
_atom_site_fract_x
_atom_site_fract_y
_atom_site_fract_z
Be1 Be 0.000 0.000 0.000
Hg1 Hg 0.000 0.500 0.500
Ru1 Ru 0.500 0.500 0.000
```

Output
Its density of states at the Fermi level is 2.65 states/eV/f.u.

***

Density functional theory data (PBE-GGA) for crystalline BeHgRu2 at its relaxed geometry.

CIF file:
```
data_BeHgRu2
_space_group_name_H-M_alt 'P m m m'
_space_group_IT_number 47
_space_group_name_Hall '-P 2 2'
_cell_length_a 2.922
_cell_length_b 4.504
_cell_length_c 4.506
_cell_angle_alpha 90.00
_cell_angle_beta 90.00
_cell_angle_gamma 90.00
loop_
_atom_site_label
_atom_site_type_symbol
_atom_site_fract_x
_atom_site_fract_y
_atom_site_fract_z
Be1 Be 0.000 0.000 0.000
Hg1 Hg 0.500 0.500 0.000
Ru1 Ru 0.000 0.500 0.500
Ru2 Ru 0.500 0.000 0.500
```

Output
Its density of states at the Fermi level is 4.49 states/eV/f.u. The energy relative to the lowest polymorph listed for this composition comes out at 9.453 kcal/mol of atoms.

***

Density functional theory data (PBE-GGA) for crystalline BeHg2Ru at its relaxed geometry.

CIF file:
```
data_BeHg2Ru
_space_group_name_H-M_alt 'P 4 m m'
_space_group_IT_number 99
_space_group_name_Hall 'P 4 -2'
_cell_length_a 3.082
_cell_length_b 3.082
_cell_length_c 7.189
_cell_angle_alpha 90.00
_cell_angle_beta 90.00
_cell_angle_gamma 90.00
loop_
_atom_site_label
_atom_site_type_symbol
_atom_site_fract_x
_atom_site_fract_y
_atom_site_fract_z
Be1 Be 0.000 0.000 0.000
Hg1 Hg 0.000 0.000 0.623
Hg2 Hg 0.500 0.500 0.286
Ru1 Ru 0.500 0.500 0.897
```

Output
Its density of states at the Fermi level is 3.27 states/eV/f.u.

***

Density functional theory data (PBE-GGA) for crystalline BeHgRu3 at its relaxed geometry.

CIF file:
```
data_BeHgRu3
_space_group_name_H-M_alt 'P m -3 m'
_space_group_IT_number 221
_space_group_name_Hall '-P 4 2 3'
_cell_length_a 4.955
_cell_length_b 4.955
_cell_length_c 4.955
_cell_angle_alpha 90.00
_cell_angle_beta 90.00
_cell_angle_gamma 90.00
loop_
_atom_site_label
_atom_site_type_symbol
_atom_site_fract_x
_atom_site_fract_y
_atom_site_fract_z
Be1 Be 0.000 0.000 0.000
Hg1 Hg 0.500 0.500 0.500
Ru1 Ru 0.000 0.500 0.500
```

Output
Its density of states at the Fermi level is 8.63 states/eV/f.u. The energy relative to the lowest polymorph listed for this composition comes out at 46.384 kcal/mol of atoms.

***

Density functional theory data (PBE-GGA) for crystalline BeHgRu2 at its relaxed geometry.

CIF file:
```
data_BeHgRu2
_space_group_name_H-M_alt 'I 4/m m m'
_space_group_IT_number 139
_space_group_name_Hall '-I 4 2'
_cell_length_a 3.845
_cell_length_b 3.845
_cell_length_c 8.010
_cell_angle_alpha 90.00
_cell_angle_beta 90.00
_cell_angle_gamma 90.00
loop_
_atom_site_label
_atom_site_type_symbol
_atom_site_fract_x
_atom_site_fract_y
_atom_site_fract_z
Be1 Be 0.000 0.000 0.000
Hg1 Hg 0.000 0.000 0.500
Ru1 Ru 0.000 0.500 0.250
```

Output
Its density of states at the Fermi level is 5.16 states/eV/f.u. The energy relative to the lowest polymorph listed for this composition comes out at 9.813 kcal/mol of atoms.

***

Density functional theory data (PBE-GGA) for crystalline BeHgRu2 at its relaxed geometry.

CIF file:
```
data_BeHgRu2
_space_group_name_H-M_alt 'I m m m'
_space_group_IT_number 71
_space_group_name_Hall '-I 2 2'
_cell_length_a 2.866
_cell_length_b 4.396
_cell_length_c 8.956
_cell_angle_alpha 90.00
_cell_angle_beta 90.00
_cell_angle_gamma 90.00
loop_
_atom_site_label
_atom_site_type_symbol
_atom_site_fract_x
_atom_site_fract_y
_atom_site_fract_z
Be1 Be 0.000 0.000 0.000
Hg1 Hg 0.000 0.000 0.500
Ru1 Ru 0.000 0.500 0.291
```

Output
Its density of states at the Fermi level is 3.83 states/eV/f.u. The energy relative to the lowest polymorph listed for this composition comes out at 2.998 kcal/mol of atoms.

***

Formation energy in meV/atom, matching the order above: 560.6, 145.9, -61.2, 188.5, 592.0, 505.5, 570.3, 204.4, 368.2, 173.3, 209.6, 470.1, 414.3, 396.7, 475.3, 555.8, 218.3, 2652.7, 571.4, 275.9
M_tot in μB per formula unit, matching the order above: 2.298, 0.000, 0.000, 0.000, 0.572, 0.000, 0.437, 0.000, 0.000, 0.000, 0.000, 0.000, 0.001, 0.001, 0.000, 1.236, 0.020, 5.923, 2.049, 0.000